Record 1
# PBE-GGA AcIn2Ag4, optimized geometry
data_AcIn2Ag4
_chemical_formula_sum 'Ac1 In2 Ag4'
_cell_length_a 5.849
_cell_length_b 5.981
_cell_length_c 5.981
_cell_angle_alpha 76.17
_cell_angle_beta 60.73
_cell_angle_gamma 60.73
_symmetry_space_group_name_H-M 'P 1'
_symmetry_Int_Tables_number 1
loop_
_symmetry_equiv_pos_as_xyz
'x,y,z'
loop_
_atom_site_label
_atom_site_type_symbol
_atom_site_fract_x
_atom_site_fract_y
_atom_site_fract_z
Ac1 Ac 0.000 0.000 0.000
Ag1 Ag 0.691 0.000 0.618
Ag2 Ag 0.309 0.000 0.382
Ag3 Ag 0.309 0.382 0.000
Ag4 Ag 0.691 0.618 0.000
In1 In 0.750 0.500 0.500
In2 In 0.250 0.500 0.500
# D(E_F)	3.71	states/eV/f.u.

Record 2
# PBE-GGA AcIn9Ag2, optimized geometry
data_AcIn9Ag2
_chemical_formula_sum 'Ac2 In18 Ag4'
_cell_length_a 8.188
_cell_length_b 9.682
_cell_length_c 9.682
_cell_angle_alpha 79.70
_cell_angle_beta 64.99
_cell_angle_gamma 64.99
_symmetry_space_group_name_H-M 'P 1'
_symmetry_Int_Tables_number 1
loop_
_symmetry_equiv_pos_as_xyz
'x,y,z'
loop_
_atom_site_label
_atom_site_type_symbol
_atom_site_fract_x
_atom_site_fract_y
_atom_site_fract_z
Ac1 Ac 0.500 0.000 0.000
Ac2 Ac 0.250 0.500 0.500
In1 In 0.750 0.500 0.500
In2 In 0.000 0.000 0.000
In3 In 0.993 0.927 0.683
In4 In 0.603 0.073 0.317
In5 In 0.670 0.183 0.573
In6 In 0.425 0.817 0.427
In7 In 0.757 0.817 0.573
In8 In 0.147 0.183 0.427
In9 In 0.080 0.927 0.317
In10 In 0.325 0.073 0.683
In11 In 0.757 0.573 0.817
In12 In 0.147 0.427 0.183
In13 In 0.080 0.317 0.927
In14 In 0.325 0.683 0.073
In15 In 0.993 0.683 0.927
In16 In 0.603 0.317 0.073
In17 In 0.670 0.573 0.183
In18 In 0.425 0.427 0.817
Ag1 Ag 0.875 0.250 0.750
Ag2 Ag 0.875 0.750 0.250
Ag3 Ag 0.875 0.250 0.250
Ag4 Ag 0.375 0.750 0.750
# D(E_F)	5.67	states/eV/f.u.

Record 3
# PBE-GGA AcIn5Ag2, optimized geometry
data_AcIn5Ag2
_chemical_formula_sum 'Ac1 In5 Ag2'
_cell_length_a 4.526
_cell_length_b 7.280
_cell_length_c 7.280
_cell_angle_alpha 68.30
_cell_angle_beta 71.89
_cell_angle_gamma 71.89
_symmetry_space_group_name_H-M 'P 1'
_symmetry_Int_Tables_number 1
loop_
_symmetry_equiv_pos_as_xyz
'x,y,z'
loop_
_atom_site_label
_atom_site_type_symbol
_atom_site_fract_x
_atom_site_fract_y
_atom_site_fract_z
Ac1 Ac 0.000 0.000 0.000
In1 In 0.000 0.500 0.500
In2 In 0.644 0.546 0.165
In3 In 0.356 0.454 0.835
In4 In 0.356 0.835 0.454
In5 In 0.644 0.165 0.546
Ag1 Ag 0.742 0.758 0.758
Ag2 Ag 0.258 0.242 0.242
# D(E_F)	2.08	states/eV/f.u.

Record 4
# PBE-GGA Ac4In5Ag2, optimized geometry
data_Ac4In5Ag2
_chemical_formula_sum 'Ac4 In5 Ag2'
_cell_length_a 4.025
_cell_length_b 8.184
_cell_length_c 10.489
_cell_angle_alpha 94.58
_cell_angle_beta 90.00
_cell_angle_gamma 90.00
_symmetry_space_group_name_H-M 'P 1'
_symmetry_Int_Tables_number 1
loop_
_symmetry_equiv_pos_as_xyz
'x,y,z'
loop_
_atom_site_label
_atom_site_type_symbol
_atom_site_fract_x
_atom_site_fract_y
_atom_site_fract_z
Ac1 Ac 0.500 0.740 0.561
Ac2 Ac 0.500 0.176 0.875
Ac3 Ac 0.500 0.260 0.439
Ac4 Ac 0.500 0.824 0.125
In1 In 0.000 0.555 0.301
In2 In 0.000 0.190 0.159
In3 In 0.000 0.500 0.000
In4 In 0.000 0.810 0.841
In5 In 0.000 0.445 0.699
Ag1 Ag 0.000 0.063 0.633
Ag2 Ag 0.000 0.937 0.367
# D(E_F)	10.32	states/eV/f.u.

Record 5
# PBE-GGA Ac8InAg2, optimized geometry
data_Ac8InAg2
_chemical_formula_sum 'Ac8 In1 Ag2'
_cell_length_a 5.684
_cell_length_b 7.893
_cell_length_c 10.363
_cell_angle_alpha 108.31
_cell_angle_beta 105.92
_cell_angle_gamma 90.00
_symmetry_space_group_name_H-M 'P 1'
_symmetry_Int_Tables_number 1
loop_
_symmetry_equiv_pos_as_xyz
'x,y,z'
loop_
_atom_site_label
_atom_site_type_symbol
_atom_site_fract_x
_atom_site_fract_y
_atom_site_fract_z
Ac1 Ac 0.408 0.534 0.815
Ac2 Ac 0.673 0.982 0.347
Ac3 Ac 0.805 0.678 0.609
Ac4 Ac 0.971 0.227 0.942
Ac5 Ac 0.195 0.322 0.391
Ac6 Ac 0.327 0.018 0.653
Ac7 Ac 0.592 0.466 0.185
Ac8 Ac 0.029 0.773 0.058
In1 In 0.500 0.000 0.000
Ag1 Ag 0.821 0.290 0.641
Ag2 Ag 0.179 0.710 0.359
# D(E_F)	11.08	states/eV/f.u.

Record 6
# PBE-GGA AcIn3Ag, optimized geometry
data_AcIn3Ag
_chemical_formula_sum 'Ac4 In12 Ag4'
_cell_length_a 4.792
_cell_length_b 9.497
_cell_length_c 11.950
_cell_angle_alpha 90.00
_cell_angle_beta 90.00
_cell_angle_gamma 90.00
_symmetry_space_group_name_H-M 'P 1'
_symmetry_Int_Tables_number 1
loop_
_symmetry_equiv_pos_as_xyz
'x,y,z'
loop_
_atom_site_label
_atom_site_type_symbol
_atom_site_fract_x
_atom_site_fract_y
_atom_site_fract_z
Ac1 Ac 0.750 0.810 0.003
Ac2 Ac 0.250 0.690 0.503
Ac3 Ac 0.750 0.310 0.497
Ac4 Ac 0.250 0.190 0.997
In1 In 0.250 0.573 0.100
In2 In 0.750 0.427 0.900
In3 In 0.250 0.073 0.400
In4 In 0.750 0.927 0.600
In5 In 0.250 0.384 0.702
In6 In 0.750 0.116 0.202
In7 In 0.250 0.884 0.798
In8 In 0.750 0.628 0.707
In9 In 0.250 0.372 0.293
In10 In 0.750 0.128 0.793
In11 In 0.750 0.616 0.298
In12 In 0.250 0.872 0.207
Ag1 Ag 0.250 0.099 0.638
Ag2 Ag 0.250 0.599 0.862
Ag3 Ag 0.750 0.401 0.138
Ag4 Ag 0.750 0.901 0.362
# D(E_F)	2.06	states/eV/f.u.

Record 7
# PBE-GGA Ac5In4Ag, optimized geometry
data_Ac5In4Ag
_chemical_formula_sum 'Ac5 In4 Ag1'
_cell_length_a 3.952
_cell_length_b 3.952
_cell_length_c 21.693
_cell_angle_alpha 90.00
_cell_angle_beta 90.00
_cell_angle_gamma 90.00
_symmetry_space_group_name_H-M 'P 1'
_symmetry_Int_Tables_number 1
loop_
_symmetry_equiv_pos_as_xyz
'x,y,z'
loop_
_atom_site_label
_atom_site_type_symbol
_atom_site_fract_x
_atom_site_fract_y
_atom_site_fract_z
Ac1 Ac 0.500 0.500 0.093
Ac2 Ac 0.500 0.500 0.295
Ac3 Ac 0.500 0.500 0.500
Ac4 Ac 0.500 0.500 0.705
Ac5 Ac 0.500 0.500 0.907
In1 In 0.000 0.000 0.192
In2 In 0.000 0.000 0.397
In3 In 0.000 0.000 0.603
In4 In 0.000 0.000 0.808
Ag1 Ag 0.000 0.000 0.000
# D(E_F)	9.25	states/eV/f.u.

Record 8
# PBE-GGA AcInAg3, optimized geometry
data_AcInAg3
_chemical_formula_sum 'Ac4 In4 Ag12'
_cell_length_a 5.254
_cell_length_b 9.663
_cell_length_c 9.639
_cell_angle_alpha 90.00
_cell_angle_beta 90.00
_cell_angle_gamma 90.00
_symmetry_space_group_name_H-M 'P 1'
_symmetry_Int_Tables_number 1
loop_
_symmetry_equiv_pos_as_xyz
'x,y,z'
loop_
_atom_site_label
_atom_site_type_symbol
_atom_site_fract_x
_atom_site_fract_y
_atom_site_fract_z
Ac1 Ac 0.750 0.761 0.004
Ac2 Ac 0.250 0.739 0.504
Ac3 Ac 0.750 0.261 0.496
Ac4 Ac 0.250 0.239 0.996
In1 In 0.250 0.089 0.653
In2 In 0.250 0.589 0.847
In3 In 0.750 0.411 0.153
In4 In 0.750 0.911 0.347
Ag1 Ag 0.250 0.600 0.148
Ag2 Ag 0.750 0.400 0.852
Ag3 Ag 0.250 0.100 0.352
Ag4 Ag 0.750 0.900 0.648
Ag5 Ag 0.250 0.388 0.652
Ag6 Ag 0.750 0.112 0.152
Ag7 Ag 0.250 0.888 0.848
Ag8 Ag 0.750 0.598 0.651
Ag9 Ag 0.250 0.402 0.349
Ag10 Ag 0.750 0.098 0.849
Ag11 Ag 0.750 0.612 0.348
Ag12 Ag 0.250 0.902 0.151
# D(E_F)	2.86	states/eV/f.u.

Record 9
# PBE-GGA AcIn2Ag, optimized geometry
data_AcIn2Ag
_chemical_formula_sum 'Ac1 In2 Ag1'
_cell_length_a 5.050
_cell_length_b 4.737
_cell_length_c 4.737
_cell_angle_alpha 90.00
_cell_angle_beta 90.00
_cell_angle_gamma 90.00
_symmetry_space_group_name_H-M 'P 1'
_symmetry_Int_Tables_number 1
loop_
_symmetry_equiv_pos_as_xyz
'x,y,z'
loop_
_atom_site_label
_atom_site_type_symbol
_atom_site_fract_x
_atom_site_fract_y
_atom_site_fract_z
Ac1 Ac 0.500 0.500 0.500
Ag1 Ag 0.500 0.000 0.000
In1 In 0.000 0.000 0.500
In2 In 0.000 0.500 0.000
# D(E_F)	3.40	states/eV/f.u.

Record 10
# PBE-GGA AcInAg5, optimized geometry
data_AcInAg5
_chemical_formula_sum 'Ac4 In4 Ag20'
_cell_length_a 5.771
_cell_length_b 9.300
_cell_length_c 11.583
_cell_angle_alpha 90.00
_cell_angle_beta 90.00
_cell_angle_gamma 90.00
_symmetry_space_group_name_H-M 'P 1'
_symmetry_Int_Tables_number 1
loop_
_symmetry_equiv_pos_as_xyz
'x,y,z'
loop_
_atom_site_label
_atom_site_type_symbol
_atom_site_fract_x
_atom_site_fract_y
_atom_site_fract_z
Ac1 Ac 0.250 0.241 0.940
Ac2 Ac 0.750 0.259 0.440
Ac3 Ac 0.250 0.741 0.560
Ac4 Ac 0.750 0.759 0.060
In1 In 0.250 0.855 0.855
In2 In 0.750 0.645 0.355
In3 In 0.250 0.355 0.645
In4 In 0.750 0.145 0.145
Ag1 Ag 0.250 0.591 0.017
Ag2 Ag 0.750 0.909 0.517
Ag3 Ag 0.250 0.091 0.483
Ag4 Ag 0.750 0.409 0.983
Ag5 Ag 0.750 0.318 0.744
Ag6 Ag 0.250 0.182 0.244
Ag7 Ag 0.750 0.818 0.756
Ag8 Ag 0.250 0.682 0.256
Ag9 Ag 0.250 0.933 0.090
Ag10 Ag 0.750 0.567 0.590
Ag11 Ag 0.250 0.433 0.410
Ag12 Ag 0.750 0.067 0.910
Ag13 Ag 0.994 0.434 0.194
Ag14 Ag 0.006 0.066 0.694
Ag15 Ag 0.506 0.934 0.306
Ag16 Ag 0.494 0.566 0.806
Ag17 Ag 0.006 0.566 0.806
Ag18 Ag 0.994 0.934 0.306
Ag19 Ag 0.494 0.066 0.694
Ag20 Ag 0.506 0.434 0.194
# D(E_F)	3.93	states/eV/f.u.

Record 11
# PBE-GGA Ac2InAg5, optimized geometry
data_Ac2InAg5
_chemical_formula_sum 'Ac2 In1 Ag5'
_cell_length_a 6.654
_cell_length_b 6.654
_cell_length_c 6.654
_cell_angle_alpha 94.01
_cell_angle_beta 117.71
_cell_angle_gamma 117.71
_symmetry_space_group_name_H-M 'P 1'
_symmetry_Int_Tables_number 1
loop_
_symmetry_equiv_pos_as_xyz
'x,y,z'
loop_
_atom_site_label
_atom_site_type_symbol
_atom_site_fract_x
_atom_site_fract_y
_atom_site_fract_z
Ac1 Ac 0.500 0.254 0.754
Ac2 Ac 0.500 0.754 0.254
In1 In 0.000 0.935 0.935
Ag1 Ag 0.415 0.712 0.712
Ag2 Ag 0.000 0.712 0.297
Ag3 Ag 0.000 0.297 0.712
Ag4 Ag 0.585 0.297 0.297
Ag5 Ag 0.000 0.262 0.262
# D(E_F)	4.81	states/eV/f.u.

Record 12
# PBE-GGA Ac3In2Ag3, optimized geometry
data_Ac3In2Ag3
_chemical_formula_sum 'Ac12 In8 Ag12'
_cell_length_a 6.353
_cell_length_b 9.070
_cell_length_c 16.636
_cell_angle_alpha 90.00
_cell_angle_beta 90.00
_cell_angle_gamma 90.00
_symmetry_space_group_name_H-M 'P 1'
_symmetry_Int_Tables_number 1
loop_
_symmetry_equiv_pos_as_xyz
'x,y,z'
loop_
_atom_site_label
_atom_site_type_symbol
_atom_site_fract_x
_atom_site_fract_y
_atom_site_fract_z
Ac1 Ac 0.141 0.450 0.394
Ac2 Ac 0.641 0.050 0.606
Ac3 Ac 0.859 0.550 0.894
Ac4 Ac 0.359 0.950 0.106
Ac5 Ac 0.859 0.550 0.606
Ac6 Ac 0.359 0.950 0.394
Ac7 Ac 0.141 0.450 0.106
Ac8 Ac 0.641 0.050 0.894
Ac9 Ac 0.620 0.315 0.250
Ac10 Ac 0.120 0.185 0.750
Ac11 Ac 0.380 0.685 0.750
Ac12 Ac 0.880 0.815 0.250
In1 In 0.864 0.101 0.396
In2 In 0.364 0.399 0.604
In3 In 0.136 0.899 0.896
In4 In 0.636 0.601 0.104
In5 In 0.136 0.899 0.604
In6 In 0.636 0.601 0.396
In7 In 0.864 0.101 0.104
In8 In 0.364 0.399 0.896
Ag1 Ag 0.122 0.175 0.250
Ag2 Ag 0.622 0.325 0.750
Ag3 Ag 0.878 0.825 0.750
Ag4 Ag 0.378 0.675 0.250
Ag5 Ag 0.603 0.310 0.464
Ag6 Ag 0.103 0.190 0.536
Ag7 Ag 0.397 0.690 0.964
Ag8 Ag 0.897 0.810 0.036
Ag9 Ag 0.397 0.690 0.536
Ag10 Ag 0.897 0.810 0.464
Ag11 Ag 0.603 0.310 0.036
Ag12 Ag 0.103 0.190 0.964
# D(E_F)	6.67	states/eV/f.u.

| no. | energy (eV/atom) |
| --- | --- |
| 1 | -3.2091 |
| 2 | -2.9494 |
| 3 | -3.1352 |
| 4 | -3.6064 |
| 5 | -3.8830 |
| 6 | -3.3509 |
| 7 | -3.8281 |
| 8 | -3.3120 |
| 9 | -3.3484 |
| 10 | -3.2308 |
| 11 | -3.2866 |
| 12 | -3.6130 |